## Be2SiBr (GGA-PBEsol)

Data for a relaxed Be2SiBr crystal. Values from VASP.

Geometry as Quantum ESPRESSO input:
```
&SYSTEM
  ibrav = 0, nat = 4, ntyp = 3
/
ATOMIC_SPECIES
Be 9.01 Be.upf
Si 28.09 Si.upf
Br 79.90 Br.upf
CELL_PARAMETERS angstrom
1.6539 0.9549 6.2868
-1.6539 0.9549 6.2868
0.0000 -1.9097 6.2868
ATOMIC_POSITIONS crystal
Be 0.2381 0.2381 0.2381
Be 0.7619 0.7619 0.7619
Si 0.5000 0.5000 0.5000
Br 0.0000 0.0000 0.0000
```

Output
- raw formation energy (eV per atom) = 0.326
- electronic total energy (eV/atom) = -3.58
- ΔE to the lowest computed polymorph (meV per atom) = 0
- SG = No. 166